The following is a PBE calculation of crystalline LiPaIrRu at its relaxed geometry, from the Alexandria database.

Unit cell a=4.592 b=4.592 c=4.592 alpha=60.00 beta=60.00 gamma=60.00
Element x y z (fractional)
Pa 0.500 0.500 0.500
Li 0.000 0.000 0.000
Ir 0.250 0.250 0.250
Ru 0.750 0.750 0.750

Summary:
Electronic total energy ... -7.823 eV per atom
Crystal system ... cubic
DFT formation energy ... -0.437 eV per atom

The following is a PBE calculation of crystalline LaPuSbN2 at its relaxed geometry, from the Alexandria database.

Unit cell a=5.569 b=5.656 c=7.360 alpha=112.60 beta=90.00 gamma=90.00
Site moments in Bohr magnetons follow the coordinates.
Element x y z (fractional)
Pu 0.250 0.926 0.852  3.79
Pu 0.750 0.074 0.148  3.79
Sb 0.250 0.252 0.504  -0.06
Sb 0.750 0.748 0.496  -0.06
La 0.750 0.405 0.810  -0.03
La 0.250 0.595 0.190  -0.03
N 0.000 0.228 0.000  -0.23
N 0.500 0.772 0.000  -0.23
N 0.000 0.772 0.000  -0.23
N 0.500 0.228 0.000  -0.23

Summary:
Formation energy (no corrections) ... -1.068 eV/atom
Electronic total energy ... -9.074 eV per atom
Crystal system ... orthorhombic

The following is a PBE calculation of crystalline Dy2HoBeC2 at its relaxed geometry, from the Alexandria database.

Unit cell a=3.614 b=5.406 c=10.915 alpha=90.00 beta=90.00 gamma=90.00
Element x y z (fractional)
C 0.000 0.234 0.108
C 0.500 0.266 0.608
C 0.000 0.766 0.892
C 0.500 0.734 0.392
Dy 0.500 0.000 0.794
Dy 0.000 0.500 0.294
Dy 0.000 0.500 0.706
Dy 0.500 0.000 0.206
Ho 0.000 0.000 0.500
Ho 0.500 0.500 0.000
Be 0.500 0.500 0.500
Be 0.000 0.000 0.000

Summary:
Electronic total energy ... -6.152 eV per atom
Crystal system ... orthorhombic
DFT formation energy ... -0.159 eV per atom

The following is a PBE calculation of crystalline InRe2Os at its relaxed geometry, from the Alexandria database.

Unit cell a=9.328 b=9.328 c=9.328 alpha=17.54 beta=17.54 gamma=17.54
Element x y z (fractional)
Re 0.494 0.494 0.494
Re 0.006 0.006 0.006
Os 0.750 0.750 0.750
In 0.250 0.250 0.250

Summary:
Electronic total energy ... -9.355 eV per atom
Crystal system ... trigonal
DFT formation energy ... 0.361 eV per atom